A geometry-optimized CdAgSn structure, computed with PBE.

Lattice parameters (Å, degrees): 6.1538 4.6238 9.5969 90.00 90.00 90.00
Sites, in units of the cell vectors:
Cd (0.1569, 0.2500, 0.6461)
Cd (0.3431, 0.7500, 0.1461)
Cd (0.6569, 0.2500, 0.8539)
Cd (0.8431, 0.7500, 0.3539)
Sn (0.6775, 0.2500, 0.5300)
Sn (0.3225, 0.7500, 0.4700)
Sn (0.1775, 0.2500, 0.9700)
Sn (0.8225, 0.7500, 0.0300)
Ag (0.8715, 0.7500, 0.7055)
Ag (0.3715, 0.7500, 0.7945)
Ag (0.6285, 0.2500, 0.2055)
Ag (0.1285, 0.2500, 0.2945)

Values from the calculation:
**DFT total energy**: -2.511 eV/atom
**V**: 273.1 Å³/cell
**Space group**: No. 62

=====

A geometry-optimized MgTaBeIr structure, computed with PBE.

Lattice parameters (Å, degrees): 4.3261 4.3261 4.3261 60.00 60.00 60.00
Sites, in units of the cell vectors:
Ta (0.5000, 0.5000, 0.5000)
Mg (0.2500, 0.2500, 0.2500)
Be (0.7500, 0.7500, 0.7500)
Ir (0.0000, 0.0000, 0.0000)

Values from the calculation:
**DFT total energy**: -6.345 eV/atom
**Magnetization**: 0.009 μB/atom
**E above lowest polymorph**: 1.78 eV/f.u.
**V**: 57.2 Å³/cell
**Space group**: No. 216

=====

A geometry-optimized Sr2NbN3 structure, computed with PBE.

Lattice parameters (Å, degrees): 6.0190 6.3720 12.5453 91.28 92.71 61.82
Sites, in units of the cell vectors:
Sr (0.1543, 0.2322, 0.5774)
Sr (0.3866, 0.7678, 0.0774)
Sr (0.6134, 0.2322, 0.9226)
Sr (0.0578, 0.4040, 0.1430)
Sr (0.4618, 0.5960, 0.6430)
Sr (0.5382, 0.4040, 0.3570)
Sr (0.8457, 0.7678, 0.4226)
Sr (0.9422, 0.5960, 0.8570)
N (0.5014, 0.9971, 0.7500)
N (0.9065, 0.1870, 0.7500)
N (0.6737, 0.3254, 0.1248)
N (0.9992, 0.6746, 0.6248)
N (0.4986, 0.0029, 0.2500)
N (0.6147, 0.1873, 0.5382)
N (0.3263, 0.6746, 0.8752)
N (0.3853, 0.8127, 0.4618)
N (0.0008, 0.3254, 0.3752)
N (0.0935, 0.8129, 0.2500)
N (0.1980, 0.1873, 0.9618)
N (0.8020, 0.8127, 0.0382)
Nb (0.7688, 0.9991, 0.6631)
Nb (0.7680, 0.0009, 0.1631)
Nb (0.2320, 0.9991, 0.8369)
Nb (0.2312, 0.0009, 0.3369)

Values from the calculation:
**DFT total energy**: -7.454 eV/atom
**Magnetization**: 0.000 μB/atom
**V**: 423.6 Å³/cell
**Space group**: No. 15

=====

A geometry-optimized YSc2Ni2 structure, computed with PBE.

Lattice parameters (Å, degrees): 6.1823 6.1823 6.1823 139.29 139.29 58.93
Sites, in units of the cell vectors:
Sc (0.7500, 0.2500, 0.5000)
Sc (0.2500, 0.7500, 0.5000)
Ni (0.3939, 0.3939, 0.0000)
Ni (0.6061, 0.6061, 0.0000)
Y (0.0000, 0.0000, 0.0000)

Values from the calculation:
**DFT total energy**: -6.368 eV/atom
**Formation enthalpy at 0 K**: -0.316 eV per atom
**Magnetization**: 0.042 μB/atom
**V**: 99.5 Å³/cell
**Space group**: No. 139

=====

Which formula does entry 2 have? MgTaBeIr

=====

Among the records above, which one has the highest DFT total energy? CdAgSn

=====

The lowest DFT total energy belongs to which entry? Sr2NbN3